Entry 1:
Entry from Alexandria: an optimized crystal structure of TeO (PBE).

Cell and atoms, written as CIF:
```
data_TeO
_chemical_formula_sum 'Te4 O4'
_cell_length_a 6.4418
_cell_length_b 6.4418
_cell_length_c 6.4418
_cell_angle_alpha 109.47
_cell_angle_beta 109.47
_cell_angle_gamma 109.47
_symmetry_space_group_name_H-M 'P 1'
_symmetry_Int_Tables_number 1
_symmetry_space_group_name_Hall 'P 1'
loop_
_atom_site_label
_atom_site_type_symbol
_atom_site_fract_x
_atom_site_fract_y
_atom_site_fract_z
Te1 Te 0.0000 0.0000 0.3330
Te2 Te 0.0000 0.3330 0.0000
Te3 Te 0.3330 0.0000 0.0000
Te4 Te 0.6670 0.6670 0.6670
O1 O 0.0000 0.0000 0.7511
O2 O 0.0000 0.7511 0.0000
O3 O 0.2489 0.2489 0.2489
O4 O 0.7511 0.0000 0.0000
```

Computed properties:
Electronic total energy ... -4.111 eV/atom
Total magnetic moment ... 0.00 μB per cell
Uncorrected formation energy ... -0.1 eV/f.u.
Excess energy over the best structure of this formula in the dataset ... 0.4817 eV per atom

---

Entry 2:
Entry from Alexandria: an optimized crystal structure of Nd4CdPd (PBE).

Cell and atoms, written as CIF:
```
data_Nd4CdPd
_chemical_formula_sum 'Nd8 Cd2 Pd2'
_cell_length_a 8.3364
_cell_length_b 8.3364
_cell_length_c 6.0316
_cell_angle_alpha 101.21
_cell_angle_beta 101.21
_cell_angle_gamma 114.86
_symmetry_space_group_name_H-M 'P 1'
_symmetry_Int_Tables_number 1
_symmetry_space_group_name_Hall 'P 1'
loop_
_atom_site_label
_atom_site_type_symbol
_atom_site_fract_x
_atom_site_fract_y
_atom_site_fract_z
Nd1 Nd 0.0796 0.7000 0.9331
Nd2 Nd 0.2019 0.3609 0.6381
Nd3 Nd 0.3000 0.9204 0.5669
Nd4 Nd 0.3609 0.2019 0.1381
Nd5 Nd 0.6391 0.7981 0.8619
Nd6 Nd 0.7000 0.0796 0.4331
Nd7 Nd 0.7981 0.6391 0.3619
Nd8 Nd 0.9204 0.3000 0.0669
Cd1 Cd 0.3850 0.6150 0.2500
Cd2 Cd 0.6150 0.3850 0.7500
Pd1 Pd 0.0008 0.9992 0.2500
Pd2 Pd 0.9992 0.0008 0.7500
```

Computed properties:
Electronic total energy ... -4.496 eV/atom
Total magnetic moment ... 0.00 μB per cell
Formation energy ... -28.9 kJ per mole of atoms
Excess energy over the best structure of this formula in the dataset ... 0.0965 eV per atom

---

Entry 3:
Entry from Alexandria: an optimized crystal structure of LiIn2Au (PBE).

Cell and atoms, written as CIF:
```
data_LiIn2Au
_chemical_formula_sum 'Li2 In4 Au2'
_cell_length_a 6.6894
_cell_length_b 6.6894
_cell_length_c 6.6894
_cell_angle_alpha 99.45
_cell_angle_beta 99.45
_cell_angle_gamma 132.21
_symmetry_space_group_name_H-M 'P 1'
_symmetry_Int_Tables_number 1
_symmetry_space_group_name_Hall 'P 1'
loop_
_atom_site_label
_atom_site_type_symbol
_atom_site_fract_x
_atom_site_fract_y
_atom_site_fract_z
Li1 Li 0.0000 0.0000 0.0000
Li2 Li 0.7500 0.2500 0.5000
In1 In 0.1924 0.6250 0.0674
In2 In 0.3750 0.4424 0.5674
In3 In 0.5576 0.1250 0.9326
In4 In 0.8750 0.8076 0.4326
Au1 Au 0.2500 0.7500 0.5000
Au2 Au 0.5000 0.5000 0.0000
```

Computed properties:
Electronic total energy ... -2.825 eV/atom
Total magnetic moment ... 0.00 μB per cell
Formation energy ... -15.2 kJ per mole of atoms